Entry from Alexandria via LeMat-Bulk: crystalline PaCoTcO6 at its relaxed geometry (GGA+U).

Results
SG: No. 163
Magnetic moment (μB/f.u.): 5.01
DFT total energy (eV per formula unit): -72.75
Mass density (g/cm3): 7.096

Unit cell a=5.4571 b=5.4571 c=8.7831 alpha=90.00 beta=90.00 gamma=120.00
Each line ends with the local moment (μB).
Fractional positions:
O (0.0274, 0.6716, 0.8707)  0.06
O (0.3559, 0.0274, 0.1293)  0.06
O (0.6716, 0.6441, 0.1293)  0.06
O (0.3284, 0.3559, 0.8707)  0.06
O (0.6441, 0.9726, 0.8707)  0.06
O (0.9726, 0.3284, 0.1293)  0.06
O (0.6441, 0.6716, 0.6293)  0.06
O (0.6716, 0.0274, 0.3707)  0.06
O (0.0274, 0.3559, 0.6293)  0.06
O (0.9726, 0.6441, 0.3707)  0.06
O (0.3559, 0.3284, 0.3707)  0.06
O (0.3284, 0.9726, 0.6293)  0.06
Pa (0.6667, 0.3333, 0.7500)  0.16
Pa (0.3333, 0.6667, 0.2500)  0.16
Co (0.0000, 0.0000, 0.0000)  2.76
Co (0.0000, 0.0000, 0.5000)  2.76
Tc (0.6667, 0.3333, 0.2500)  1.50
Tc (0.3333, 0.6667, 0.7500)  1.50